(1)
Computed, not measured: SrTc after structural relaxation at the PBE-GGA level of DFT.

Summary:
Energy, eV/atom: -5.575
Excess energy over the best structure of this formula in the dataset, kJ/mol of formula units: 39
Energy of formation, eV/atom: 0.45

The structure in CIF format:
```
data_SrTc
_cell_length_a 3.3173
_cell_length_b 19.1711
_cell_length_c 3.3506
_cell_angle_alpha 90.00
_cell_angle_beta 90.00
_cell_angle_gamma 90.00
_symmetry_space_group_name_H-M 'C m c m'
_symmetry_Int_Tables_number 63
_symmetry_space_group_name_Hall '-C 2c 2'
loop_
_atom_site_label
_atom_site_type_symbol
_atom_site_fract_x
_atom_site_fract_y
_atom_site_fract_z
Sr1 Sr 0.0000 0.0999 0.2500
Tc1 Tc 0.0000 0.2773 0.2500
```



(2)
Computed, not measured: SrTc after structural relaxation at the PBE-GGA level of DFT.

Summary:
Energy, eV/atom: -5.411
Excess energy over the best structure of this formula in the dataset, kJ/mol of formula units: 70
Energy of formation, eV/atom: 0.61

The structure in CIF format:
```
data_SrTc
_cell_length_a 9.4732
_cell_length_b 6.9756
_cell_length_c 6.6672
_cell_angle_alpha 90.00
_cell_angle_beta 90.00
_cell_angle_gamma 90.00
_symmetry_space_group_name_H-M 'C m c m'
_symmetry_Int_Tables_number 63
_symmetry_space_group_name_Hall '-C 2c 2'
loop_
_atom_site_label
_atom_site_type_symbol
_atom_site_fract_x
_atom_site_fract_y
_atom_site_fract_z
Sr1 Sr 0.1986 0.0269 0.2500
Tc1 Tc 0.0000 0.3471 0.5722
```



(3)
Computed, not measured: SrTc after structural relaxation at the PBE-GGA level of DFT.

Summary:
Energy, eV/atom: -5.775
Excess energy over the best structure of this formula in the dataset, kJ/mol of formula units: 0
Energy of formation, eV/atom: 0.25

The structure in CIF format:
```
data_SrTc
_cell_length_a 4.1612
_cell_length_b 4.1612
_cell_length_c 25.9534
_cell_angle_alpha 90.00
_cell_angle_beta 90.00
_cell_angle_gamma 120.00
_symmetry_space_group_name_H-M 'R -3 m'
_symmetry_Int_Tables_number 166
_symmetry_space_group_name_Hall '-R 3 2"'
loop_
_atom_site_label
_atom_site_type_symbol
_atom_site_fract_x
_atom_site_fract_y
_atom_site_fract_z
Sr1 Sr 0.0000 0.0000 0.0903
Tc1 Tc 0.0000 0.0000 0.3272
```



(4)
Computed, not measured: SrTc3 after structural relaxation at the PBE-GGA level of DFT.

Summary:
Energy, eV/atom: -7.394
Excess energy over the best structure of this formula in the dataset, kJ/mol of formula units: 83
Energy of formation, eV/atom: 0.80

The structure in CIF format:
```
data_SrTc3
_cell_length_a 2.9238
_cell_length_b 2.9238
_cell_length_c 9.6216
_cell_angle_alpha 90.00
_cell_angle_beta 90.00
_cell_angle_gamma 120.00
_symmetry_space_group_name_H-M 'P -6 m 2'
_symmetry_Int_Tables_number 187
_symmetry_space_group_name_Hall 'P -6 2'
loop_
_atom_site_label
_atom_site_type_symbol
_atom_site_fract_x
_atom_site_fract_y
_atom_site_fract_z
Sr1 Sr 0.0000 0.0000 0.0000
Tc1 Tc 0.0000 0.0000 0.5000
Tc2 Tc 0.6667 0.3333 0.2881
```



Please write out number 1 again, unchanged.
Computed, not measured: SrTc after structural relaxation at the PBE-GGA level of DFT.

Summary:
Energy, eV/atom: -5.575
Excess energy over the best structure of this formula in the dataset, kJ/mol of formula units: 39
Energy of formation, eV/atom: 0.45

The structure in CIF format:
```
data_SrTc
_cell_length_a 3.3173
_cell_length_b 19.1711
_cell_length_c 3.3506
_cell_angle_alpha 90.00
_cell_angle_beta 90.00
_cell_angle_gamma 90.00
_symmetry_space_group_name_H-M 'C m c m'
_symmetry_Int_Tables_number 63
_symmetry_space_group_name_Hall '-C 2c 2'
loop_
_atom_site_label
_atom_site_type_symbol
_atom_site_fract_x
_atom_site_fract_y
_atom_site_fract_z
Sr1 Sr 0.0000 0.0999 0.2500
Tc1 Tc 0.0000 0.2773 0.2500
```